YCdCl2 | PBE | relaxed

Properties
- polymorph energy (0 for the lowest one) (eV/atom) = 0.1218
- crystal system = orthorhombic
- symmetry = Cmmm (65)

Cell: 3.8080 3.8080 11.2079 Å, 90.00 90.00 121.51°
Positions (direct):
Cl (0.0000, 0.0000, 0.4207)
Cl (0.0000, 0.0000, 0.0793)
Cd (0.5000, 0.5000, 0.7500)
Y (0.5000, 0.5000, 0.2500)


BaMg4Sc | PBE | relaxed

Properties
- formation energy (kJ/mol of atoms) = 3
- crystal system = cubic
- symmetry = F-43m (216)

Cell: 6.1983 6.1983 6.1983 Å, 60.00 60.00 60.00°
Positions (direct):
Mg (0.6238, 0.6238, 0.6238)
Mg (0.6238, 0.1287, 0.6238)
Mg (0.1287, 0.6238, 0.6238)
Mg (0.6238, 0.6238, 0.1287)
Sc (0.2500, 0.2500, 0.2500)
Ba (0.0000, 0.0000, 0.0000)


YCd2Ag | PBE | relaxed

Properties
- formation energy (kJ/mol of atoms) = -2
- crystal system = trigonal
- symmetry = R3m (160)

Cell: 8.9688 8.9688 8.9688 Å, 23.62 23.62 23.62°
Positions (direct):
Cd (0.0042, 0.0042, 0.0042)
Cd (0.2553, 0.2553, 0.2553)
Y (0.4946, 0.4946, 0.4946)
Ag (0.7458, 0.7458, 0.7458)


RbBaBr2O6 | PBE | relaxed

Properties
- crystal system = monoclinic
- symmetry = C2/c (15)

Cell: 7.4609 7.4609 8.0431 Å, 98.61 98.61 106.10°
Last column: magnetic moment on the atom in μB.
Positions (direct):
O (0.0611, 0.6143, 0.8108)  0.04
O (0.1886, 0.1693, 0.1788)  0.04
O (0.4876, 0.2798, 0.9047)  0.14
O (0.8114, 0.8307, 0.8212)  0.04
O (0.2798, 0.4876, 0.4047)  0.14
O (0.9389, 0.3857, 0.1892)  0.04
O (0.5124, 0.7202, 0.0953)  0.14
O (0.1693, 0.1886, 0.6788)  0.04
O (0.8307, 0.8114, 0.3212)  0.04
O (0.3857, 0.9389, 0.6892)  0.04
O (0.6143, 0.0611, 0.3108)  0.04
O (0.7202, 0.5124, 0.5953)  0.14
Br (0.0719, 0.2791, 0.3085)  0.15
Br (0.7209, 0.9281, 0.1915)  0.15
Br (0.2791, 0.0719, 0.8085)  0.15
Br (0.9281, 0.7209, 0.6915)  0.15
Ba (0.4225, 0.5775, 0.7500)  0.01
Ba (0.5775, 0.4225, 0.2500)  0.01
Rb (0.2043, 0.7957, 0.2500)  0.00
Rb (0.7957, 0.2043, 0.7500)  0.00


KOs2Cl | PBE | relaxed

Properties
- polymorph energy (0 for the lowest one) (eV/atom) = 0.6916
- crystal system = tetragonal
- symmetry = I4/mmm (139)

Cell: 8.0127 8.0127 8.0127 Å, 153.63 153.63 37.63°
Positions (direct):
Os (0.0000, 0.0000, 0.0000)
Os (0.5000, 0.5000, 0.0000)
K (0.7500, 0.2500, 0.5000)
Cl (0.2500, 0.7500, 0.5000)


Na2CrPt | PBE | relaxed

Properties
- formation energy (kJ/mol of atoms) = 49
- polymorph energy (0 for the lowest one) (eV/atom) = 0.0426
- crystal system = tetragonal
- symmetry = I-42d (122)

Cell: 8.3651 8.3651 6.4635 Å, 49.68 49.68 90.00°
Last column: magnetic moment on the atom in μB.
Positions (direct):
Cr (0.5000, 0.5000, 0.0000)  3.92
Cr (0.2500, 0.7500, 0.5000)  3.92
Na (0.0867, 0.6250, 0.2500)  0.00
Na (0.6633, 0.1250, 0.2500)  0.00
Na (0.8750, 0.9133, 0.7500)  0.00
Na (0.3750, 0.3367, 0.7500)  0.00
Pt (0.0000, 0.0000, 0.0000)  0.08
Pt (0.7500, 0.2500, 0.5000)  0.08


no.,magnetization (Bohr magnetons per cell),D(E_F) (states/eV per cell),final energy (Ry/atom)
1,0.0,2.16,-0.2906
2,0.0,4.84,-0.1772
3,0.0,2.77,-0.2067
4,2.1,1.89,-0.3189
5,0.0,4.07,-0.3971
6,9.6,5.88,-0.2989